Below is an optimized crystal structure of ZrAsOs2, with properties calculated at the PBE level.

Computed properties:
energy relative to the elements = 276 meV per atom
space-group type = F-43m, No. 216

Cell lengths 4.539, 4.539, 4.539 Å; angles 60.00, 60.00, 60.00 degrees
Positions (direct):
1 Os 0.250 0.250 0.250
2 Os 0.000 0.000 0.000
3 As 0.500 0.500 0.500
4 Zr 0.750 0.750 0.750

Below is an optimized crystal structure of ZrAs3Os, with properties calculated at the PBE level.

Computed properties:
energy relative to the elements = 642 meV per atom
ΔE to the lowest computed polymorph = 0 meV per atom
space-group type = Pm-3m, No. 221

Cell lengths 4.799, 4.799, 4.799 Å; angles 90.00, 90.00, 90.00 degrees
Site moments in Bohr magnetons follow the coordinates.
Positions (direct):
1 As 0.000 0.500 0.000  -0.01
2 As 0.000 0.000 0.500  -0.01
3 As 0.500 0.000 0.000  0.01
4 Os 0.000 0.000 0.000  0.27
5 Zr 0.500 0.500 0.500  0.32

Below is an optimized crystal structure of ZrAsOs2, with properties calculated at the PBE level.

Computed properties:
energy relative to the elements = 0 meV per atom
space-group type = Pmm2, No. 25

Cell lengths 2.914, 3.929, 5.863 Å; angles 90.00, 90.00, 90.00 degrees
Positions (direct):
1 Os 0.000 0.000 0.026
2 Os 0.500 0.500 0.200
3 Zr 0.000 0.000 0.501
4 As 0.500 0.500 0.773

Below is an optimized crystal structure of ZrAsOs, with properties calculated at the PBE level.

Computed properties:
energy relative to the elements = -261 meV per atom
space-group type = I4mm, No. 107

Cell lengths 5.836, 5.836, 3.070 Å; angles 74.75, 74.76, 30.49 degrees
Positions (direct):
1 As 0.979 0.979 0.021
2 Os 0.355 0.355 0.645
3 Zr 0.667 0.667 0.333

Below is an optimized crystal structure of ZrAsOs, with properties calculated at the PBE level.

Computed properties:
energy relative to the elements = -324 meV per atom
space-group type = F-43m, No. 216

Cell lengths 4.362, 4.362, 4.362 Å; angles 60.00, 60.00, 60.00 degrees
Positions (direct):
1 Os 0.750 0.750 0.750
2 As 0.500 0.500 0.500
3 Zr 0.000 0.000 0.000

Below is an optimized crystal structure of ZrAsOs2, with properties calculated at the PBE level.

Computed properties:
energy relative to the elements = 45 meV per atom
space-group type = I-4m2, No. 119

Cell lengths 5.113, 5.113, 5.113 Å; angles 135.64, 135.64, 64.54 degrees
Positions (direct):
1 As 0.750 0.250 0.500
2 Zr 0.500 0.500 0.000
3 Os 0.250 0.750 0.500
4 Os 0.000 0.000 0.000

Below is an optimized crystal structure of ZrAsOs2, with properties calculated at the PBE level.

Computed properties:
energy relative to the elements = 79 meV per atom
space-group type = P2/m, No. 10

Cell lengths 4.602, 2.886, 4.939 Å; angles 85.91, 90.00, 90.00 degrees
Positions (direct):
1 Zr 0.500 0.250 0.250
2 Os 0.000 0.546 0.514
3 Os 0.000 0.954 0.986
4 As 0.500 0.750 0.750

Below is an optimized crystal structure of ZrAsOs2, with properties calculated at the PBE level.

Computed properties:
energy relative to the elements = 42 meV per atom
space-group type = P2/m, No. 10

Cell lengths 3.105, 4.911, 5.529 Å; angles 50.90, 90.00, 90.00 degrees
Positions (direct):
1 Os 0.000 0.000 0.000
2 Os 0.500 0.500 0.000
3 Zr 0.500 0.500 0.500
4 As 0.000 0.000 0.500

Below is an optimized crystal structure of ZrAsOs, with properties calculated at the PBE level.

Computed properties:
energy relative to the elements = -97 meV per atom
space-group type = Imm2, No. 44

Cell lengths 4.840, 4.840, 4.840 Å; angles 141.05, 130.95, 64.34 degrees
Positions (direct):
1 As 0.997 0.997 0.000
2 Os 0.677 0.677 0.000
3 Zr 0.326 0.326 0.000

Below is an optimized crystal structure of ZrAsOs2, with properties calculated at the PBE level.

Computed properties:
energy relative to the elements = 33 meV per atom
space-group type = C2/m, No. 12

Cell lengths 4.681, 4.681, 4.949 Å; angles 81.15, 81.15, 38.11 degrees
Positions (direct):
1 Os 0.005 0.005 0.014
2 Os 0.495 0.495 0.486
3 As 0.250 0.250 0.250
4 Zr 0.750 0.750 0.750

Below is an optimized crystal structure of Zr3AsOs, with properties calculated at the PBE level.

Computed properties:
energy relative to the elements = 267 meV per atom
ΔE to the lowest computed polymorph = 0 meV per atom
space-group type = Pm-3m, No. 221

Cell lengths 5.038, 5.038, 5.038 Å; angles 90.00, 90.00, 90.00 degrees
Positions (direct):
1 Zr 0.500 0.000 0.000
2 Zr 0.000 0.000 0.500
3 Zr 0.000 0.500 0.000
4 As 0.500 0.500 0.500
5 Os 0.000 0.000 0.000

Below is an optimized crystal structure of ZrAsOs2, with properties calculated at the PBE level.

Computed properties:
energy relative to the elements = -100 meV per atom
space-group type = Pm, No. 6

Cell lengths 4.054, 2.888, 5.788 Å; angles 75.64, 90.00, 90.00 degrees
Positions (direct):
1 Os 0.500 0.208 0.208
2 Os 0.000 0.799 0.023
3 Zr 0.000 0.556 0.516
4 As 0.500 0.938 0.752

Copy entry 11 word for word.
Below is an optimized crystal structure of Zr3AsOs, with properties calculated at the PBE level.

Computed properties:
energy relative to the elements = 267 meV per atom
ΔE to the lowest computed polymorph = 0 meV per atom
space-group type = Pm-3m, No. 221

Cell lengths 5.038, 5.038, 5.038 Å; angles 90.00, 90.00, 90.00 degrees
Positions (direct):
1 Zr 0.500 0.000 0.000
2 Zr 0.000 0.000 0.500
3 Zr 0.000 0.500 0.000
4 As 0.500 0.500 0.500
5 Os 0.000 0.000 0.000

What did the second record say?
Below is an optimized crystal structure of ZrAs3Os, with properties calculated at the PBE level.

Computed properties:
energy relative to the elements = 642 meV per atom
ΔE to the lowest computed polymorph = 0 meV per atom
space-group type = Pm-3m, No. 221

Cell lengths 4.799, 4.799, 4.799 Å; angles 90.00, 90.00, 90.00 degrees
Site moments in Bohr magnetons follow the coordinates.
Positions (direct):
1 As 0.000 0.500 0.000  -0.01
2 As 0.000 0.000 0.500  -0.01
3 As 0.500 0.000 0.000  0.01
4 Os 0.000 0.000 0.000  0.27
5 Zr 0.500 0.500 0.500  0.32

Question: Which formula does entry 9 have?
Answer: ZrAsOs

Question: Among the records above, which one has the highest energy relative to the elements?
Answer: ZrAs3Os